The following is a PBE calculation of a geometry-optimized AcPrLu structure, from Alexandria.

As for the total magnetization: 0.00 μB per cell. The energy above the most stable polymorph in this dataset comes out at 7.20 kJ/mol of atoms.

The structure in CIF format:
```
data_AcPrLu
_chemical_formula_sum 'Ac1 Pr1 Lu1'
_cell_length_a 5.9180
_cell_length_b 5.9180
_cell_length_c 3.6012
_cell_angle_alpha 90.00
_cell_angle_beta 90.00
_cell_angle_gamma 120.00
_symmetry_space_group_name_H-M 'P 3 m 1'
_symmetry_Int_Tables_number 156
loop_
_symmetry_equiv_pos_as_xyz
'x,y,z'
'-y,x-y,z'
'-x+y,-x,z'
'-y,-x,z'
'-x+y,y,z'
'x,x-y,z'
loop_
_atom_site_label
_atom_site_type_symbol
_atom_site_fract_x
_atom_site_fract_y
_atom_site_fract_z
_atom_site_occupancy
Ac1 Ac 0.0000 0.0000 0.0000 1
Pr1 Pr 0.6667 0.3333 0.5007 1
Lu1 Lu 0.3333 0.6667 0.0030 1
```